The following is a DFT calculation (PBE-GGA) of KIr3Pt after structural relaxation.

```
5
Lattice="4.6285 0.0000 0.0000 0.0000 4.6285 0.0000 0.0000 0.0000 4.6285" Properties=species:S:1:pos:R:3 pbc="T T T"
K 0.0000 0.0000 0.0000
Ir 0.0000 0.0000 2.3142
Ir 0.0000 2.3142 0.0000
Ir 2.3142 0.0000 0.0000
Pt 2.3142 2.3142 2.3142
```

Calculated values
energy of formation from the pure elements	16.161	eV/f.u.
offset from the most stable computed form	1615	meV per atom

=====

The following is a DFT calculation (PBE-GGA) of KIrPt after structural relaxation.

```
3
Lattice="-1.7535 1.7535 5.8834 1.7535 -1.7535 5.8834 1.7535 1.7535 -5.8834" Properties=species:S:1:pos:R:3 pbc="T T T"
K 0.0000 0.0000 0.0000
Ir 0.0000 0.0000 3.2251
Pt 0.0000 0.0000 8.5142
```

Calculated values
energy of formation from the pure elements	1.078	eV/f.u.
offset from the most stable computed form	194	meV per atom

=====

The following is a DFT calculation (PBE-GGA) of KIrPt after structural relaxation.

```
3
Lattice="2.8265 0.0000 0.0000 -1.4132 2.4478 0.0000 0.0000 0.0000 7.9498" Properties=species:S:1:pos:R:3 pbc="T T T"
K 0.0000 0.0000 0.0000
Ir 0.0000 1.6319 5.1027
Pt 1.4132 0.8159 2.8530
```

Calculated values
energy of formation from the pure elements	1.764	eV/f.u.
offset from the most stable computed form	423	meV per atom

=====

The following is a DFT calculation (PBE-GGA) of KIrPt2 after structural relaxation.

```
4
Lattice="-2.0714 2.0714 4.1217 2.0714 -2.0714 4.1217 2.0714 2.0714 -4.1217" Properties=species:S:1:pos:R:3 pbc="T T T"
K 0.0000 0.0000 0.0000
Ir 0.0000 2.0714 2.0609
Pt 2.0714 0.0000 2.0609
Pt 0.0000 0.0000 4.1217
```

Calculated values
energy of formation from the pure elements	3.203	eV/f.u.
offset from the most stable computed form	575	meV per atom

=====

The following is a DFT calculation (PBE-GGA) of KIrPt2 after structural relaxation.

```
4
Lattice="1.4104 0.8143 10.1735 -1.4104 0.8143 10.1735 0.0000 -1.6286 10.1735" Properties=species:S:1:pos:R:3 pbc="T T T"
K 0.0000 0.0000 0.0000
Ir 0.0000 0.0000 15.2602
Pt 0.0000 0.0000 7.3397
Pt 0.0000 0.0000 23.1807
```

Calculated values
energy of formation from the pure elements	1.275	eV/f.u.
offset from the most stable computed form	93	meV per atom

=====

The following is a DFT calculation (PBE-GGA) of KIrPt2 after structural relaxation.

```
4
Lattice="0.0000 3.3055 3.3055 3.3055 0.0000 3.3055 3.3055 3.3055 0.0000" Properties=species:S:1:pos:R:3 pbc="T T T"
K 0.0000 0.0000 0.0000
Ir 3.3055 3.3055 3.3055
Pt 1.6527 1.6527 1.6527
Pt 4.9582 4.9582 4.9582
```

Calculated values
energy of formation from the pure elements	3.272	eV/f.u.
offset from the most stable computed form	592	meV per atom